Entry 1:
## RbBa2As2O6 (PBE)

Data for a relaxed RbBa2As2O6 crystal.

Cell: 7.998 7.998 7.998 Å, 43.69 43.69 43.69°
Fractional positions:
Rb: 0.000 0.000 0.000
Ba: 0.200 0.200 0.200
Ba: 0.800 0.800 0.800
As: 0.406 0.406 0.406
As: 0.594 0.594 0.594
O: 0.247 0.720 0.720
O: 0.280 0.280 0.753
O: 0.280 0.753 0.280
O: 0.720 0.247 0.720
O: 0.720 0.720 0.247
O: 0.753 0.280 0.280

Computed properties:
- formation energy without anion corrections (eV per formula unit) = -20.682



Entry 2:
## BaReAs2O8 (PBE)

Data for a relaxed BaReAs2O8 crystal.

Cell: 7.929 7.929 7.929 Å, 38.81 38.81 38.81°
Fractional positions:
Ba: 0.000 0.000 0.000
Re: 0.500 0.500 0.500
As: 0.231 0.231 0.231
As: 0.769 0.769 0.769
O: 0.147 0.755 0.447
O: 0.245 0.553 0.853
O: 0.309 0.309 0.309
O: 0.447 0.147 0.755
O: 0.553 0.853 0.245
O: 0.691 0.691 0.691
O: 0.755 0.447 0.147
O: 0.853 0.245 0.553

Computed properties:
- formation energy without anion corrections (eV per formula unit) = -18.216



Entry 3:
## BaAsRhO5 (PBE)

Data for a relaxed BaAsRhO5 crystal.

Cell: 6.121 6.121 7.181 Å, 101.33 101.33 105.21°
Fractional positions:
Ba: 0.152 0.848 0.750
Ba: 0.848 0.152 0.250
As: 0.205 0.795 0.250
As: 0.795 0.205 0.750
Rh: 0.500 0.500 0.000
Rh: 0.500 0.500 0.500
O: 0.054 0.255 0.922
O: 0.193 0.579 0.379
O: 0.255 0.054 0.422
O: 0.421 0.807 0.121
O: 0.433 0.567 0.750
O: 0.567 0.433 0.250
O: 0.579 0.193 0.879
O: 0.745 0.946 0.578
O: 0.807 0.421 0.621
O: 0.946 0.745 0.078

Computed properties:
- formation energy without anion corrections (eV per formula unit) = -12.110